DFT (GGA-PBE) results for an optimized crystal structure of HfTaVTc.

Output
Energy relative to the elements = -0.19 eV per atom
V = 16.8 Å³ per atom
Fermi-level density of states = 1.031 states/eV per atom
M_tot = 1.5 μB/f.u.
Crystal system = cubic

The structure in CIF format:
```
data_HfTaVTc
_chemical_formula_sum 'Hf4 Ta4 V4 Tc4'
_symmetry_space_group_name_H-M 'F -4 3 m'
_symmetry_Int_Tables_number 216
_symmetry_space_group_name_Hall 'F -4 2 3'
_cell_length_a 6.4599
_cell_length_b 6.4599
_cell_length_c 6.4599
_cell_angle_alpha 90.00
_cell_angle_beta 90.00
_cell_angle_gamma 90.00
loop_
_atom_site_label
_atom_site_fract_x
_atom_site_fract_y
_atom_site_fract_z
Hf1 0.0000 0.0000 0.0000
Ta1 0.0000 0.0000 0.5000
V1 0.2500 0.2500 0.2500
Tc1 0.2500 0.2500 0.7500
```